Record 1
The following is a DFT calculation (GGA-PBE) of a relaxed structure of AlRe4W.

Results
- formation energy from the elements (eV per atom) = 0.30

```
data_AlRe4W
_chemical_formula_sum 'Al4 Re16 W4'
_space_group_name_H-M_alt 'F -4 3 m'
_space_group_IT_number 216
_space_group_name_Hall 'F -4 2 3'
_cell_length_a 7.283
_cell_length_b 7.283
_cell_length_c 7.283
_cell_angle_alpha 90.00
_cell_angle_beta 90.00
_cell_angle_gamma 90.00
loop_
_atom_site_label
_atom_site_type_symbol
_atom_site_fract_x
_atom_site_fract_y
_atom_site_fract_z
Al1 Al 0.000 0.000 0.000
Re1 Re 0.126 0.126 0.374
W1 W 0.250 0.250 0.750
```

Record 2
The following is a DFT calculation (GGA-PBE) of a relaxed structure of Nb2GaTeAs.

Results
- raw formation energy (meV per atom) = 929

```
data_Nb2GaTeAs
_chemical_formula_sum 'Nb2 Ga1 Te1 As1'
_space_group_name_H-M_alt 'P 4/m m m'
_space_group_IT_number 123
_space_group_name_Hall '-P 4 2'
_cell_length_a 4.864
_cell_length_b 4.864
_cell_length_c 5.407
_cell_angle_alpha 90.00
_cell_angle_beta 90.00
_cell_angle_gamma 90.00
loop_
_atom_site_label
_atom_site_type_symbol
_atom_site_fract_x
_atom_site_fract_y
_atom_site_fract_z
Nb1 Nb 0.000 0.500 0.000
Ga1 Ga 0.000 0.000 0.500
Te1 Te 0.500 0.500 0.500
As1 As 0.500 0.500 0.000
```

Record 3
The following is a DFT calculation (GGA-PBE) of a relaxed structure of CaRe2Ni.

Results
- energy above the most stable polymorph in this dataset (eV per formula unit) = 3.117
- formation energy from the elements (eV per atom) = 1.05

```
data_CaRe2Ni
_chemical_formula_sum 'Ca4 Re8 Ni4'
_space_group_name_H-M_alt 'I -4 2 d'
_space_group_IT_number 122
_space_group_name_Hall 'I -4 2bw'
_cell_length_a 4.644
_cell_length_b 4.644
_cell_length_c 17.052
_cell_angle_alpha 90.00
_cell_angle_beta 90.00
_cell_angle_gamma 90.00
loop_
_atom_site_label
_atom_site_type_symbol
_atom_site_fract_x
_atom_site_fract_y
_atom_site_fract_z
Ca1 Ca 0.000 0.000 0.000
Re1 Re 0.046 0.250 0.625
Ni1 Ni 0.000 0.000 0.500
```

Record 4
The following is a DFT calculation (GGA-PBE) of a relaxed structure of ThSiNi.

Results
- raw formation energy (meV per atom) = -806

```
data_ThSiNi
_chemical_formula_sum 'Th1 Si1 Ni1'
_space_group_name_H-M_alt 'P 3 m 1'
_space_group_IT_number 156
_space_group_name_Hall 'P 3 -2"'
_cell_length_a 4.1036
_cell_length_b 4.1036
_cell_length_c 4.0161
_cell_angle_alpha 90.00
_cell_angle_beta 90.00
_cell_angle_gamma 120.00
loop_
_atom_site_label
_atom_site_type_symbol
_atom_site_fract_x
_atom_site_fract_y
_atom_site_fract_z
Th1 Th 0.0000 0.0000 0.0000
Si1 Si 0.6667 0.3333 0.5004
Ni1 Ni 0.3333 0.6667 0.4968
```

Record 5
The following is a DFT calculation (GGA-PBE) of a relaxed structure of AcTmZnPt.

Results
- formation energy from the elements (eV per atom) = -0.64

```
data_AcTmZnPt
_chemical_formula_sum 'Ac4 Tm4 Zn4 Pt4'
_space_group_name_H-M_alt 'F -4 3 m'
_space_group_IT_number 216
_space_group_name_Hall 'F -4 2 3'
_cell_length_a 7.350
_cell_length_b 7.350
_cell_length_c 7.350
_cell_angle_alpha 90.00
_cell_angle_beta 90.00
_cell_angle_gamma 90.00
loop_
_atom_site_label
_atom_site_type_symbol
_atom_site_fract_x
_atom_site_fract_y
_atom_site_fract_z
Ac1 Ac 0.000 0.000 0.000
Tm1 Tm 0.000 0.000 0.500
Zn1 Zn 0.250 0.250 0.750
Pt1 Pt 0.250 0.250 0.250
```

Record 6
The following is a DFT calculation (GGA-PBE) of a relaxed structure of YAlHg2.

Results
- formation energy from the elements (eV per atom) = -0.04

```
data_YAlHg2
_chemical_formula_sum 'Y3 Al3 Hg6'
_space_group_name_H-M_alt 'R 3 m'
_space_group_IT_number 160
_space_group_name_Hall 'R 3 -2"'
_cell_length_a 3.5685
_cell_length_b 3.5685
_cell_length_c 27.1975
_cell_angle_alpha 90.00
_cell_angle_beta 90.00
_cell_angle_gamma 120.00
loop_
_atom_site_label
_atom_site_type_symbol
_atom_site_fract_x
_atom_site_fract_y
_atom_site_fract_z
Y1 Y 0.0000 0.0000 0.0000
Al1 Al 0.0000 0.0000 0.7533
Hg1 Hg 0.0000 0.0000 0.2454
Hg2 Hg 0.0000 0.0000 0.4921
```

Record 7
The following is a DFT calculation (GGA-PBE) of a relaxed structure of CoPd2RhN.

Results
- raw formation energy (meV per atom) = 419

```
data_CoPd2RhN
_chemical_formula_sum 'Co1 Pd2 Rh1 N1'
_space_group_name_H-M_alt 'P 4/m m m'
_space_group_IT_number 123
_space_group_name_Hall '-P 4 2'
_cell_length_a 4.197
_cell_length_b 4.197
_cell_length_c 3.895
_cell_angle_alpha 90.00
_cell_angle_beta 90.00
_cell_angle_gamma 90.00
loop_
_atom_site_label
_atom_site_type_symbol
_atom_site_fract_x
_atom_site_fract_y
_atom_site_fract_z
Co1 Co 0.000 0.000 0.000
Pd1 Pd 0.000 0.500 0.500
Rh1 Rh 0.500 0.500 0.000
N1 N 0.500 0.500 0.500
```

Record 8
The following is a DFT calculation (GGA-PBE) of a relaxed structure of PrMgGaPt3.

Results
- formation energy from the elements (eV per atom) = -0.65

```
data_PrMgGaPt3
_chemical_formula_sum 'Pr4 Mg4 Ga4 Pt12'
_space_group_name_H-M_alt 'C m c m'
_space_group_IT_number 63
_space_group_name_Hall '-C 2c 2'
_cell_length_a 6.987
_cell_length_b 12.302
_cell_length_c 5.717
_cell_angle_alpha 90.00
_cell_angle_beta 90.00
_cell_angle_gamma 90.00
loop_
_atom_site_label
_atom_site_type_symbol
_atom_site_fract_x
_atom_site_fract_y
_atom_site_fract_z
Pr1 Pr 0.000 0.197 0.250
Mg1 Mg 0.000 0.452 0.250
Ga1 Ga 0.000 0.129 0.750
Pt1 Pt 0.000 0.328 0.750
Pt2 Pt 0.204 0.000 0.000
```

Record 9
The following is a DFT calculation (GGA-PBE) of a relaxed structure of ThTl5S4.

Results
- raw formation energy (meV per atom) = -781

```
data_ThTl5S4
_chemical_formula_sum 'Th2 Tl10 S8'
_space_group_name_H-M_alt 'C 1 2/m 1'
_space_group_IT_number 12
_space_group_name_Hall '-C 2y'
_cell_length_a 18.627
_cell_length_b 4.193
_cell_length_c 8.559
_cell_angle_alpha 90.00
_cell_angle_beta 108.24
_cell_angle_gamma 90.00
loop_
_atom_site_label
_atom_site_type_symbol
_atom_site_fract_x
_atom_site_fract_y
_atom_site_fract_z
Th1 Th 0.000 0.000 0.000
Tl1 Tl 0.000 0.000 0.500
Tl2 Tl 0.157 0.500 0.803
Tl3 Tl 0.182 0.500 0.327
S1 S 0.014 0.500 0.226
S2 S 0.156 0.000 0.067
```

Record 10
The following is a DFT calculation (GGA-PBE) of a relaxed structure of TcTe2WCl.

Results
- raw formation energy (meV per atom) = 1072

```
data_TcTe2WCl
_chemical_formula_sum 'Tc1 Te2 W1 Cl1'
_space_group_name_H-M_alt 'P 4/m m m'
_space_group_IT_number 123
_space_group_name_Hall '-P 4 2'
_cell_length_a 5.183
_cell_length_b 5.183
_cell_length_c 4.991
_cell_angle_alpha 90.00
_cell_angle_beta 90.00
_cell_angle_gamma 90.00
loop_
_atom_site_label
_atom_site_type_symbol
_atom_site_fract_x
_atom_site_fract_y
_atom_site_fract_z
Tc1 Tc 0.000 0.000 0.000
Te1 Te 0.000 0.500 0.000
W1 W 0.000 0.000 0.500
Cl1 Cl 0.500 0.500 0.500
```

Record 11
The following is a DFT calculation (GGA-PBE) of a relaxed structure of NdThScCd.

Results
- formation energy from the elements (eV per atom) = 0.03

```
data_NdThScCd
_chemical_formula_sum 'Nd4 Th4 Sc4 Cd4'
_space_group_name_H-M_alt 'F -4 3 m'
_space_group_IT_number 216
_space_group_name_Hall 'F -4 2 3'
_cell_length_a 7.708
_cell_length_b 7.708
_cell_length_c 7.708
_cell_angle_alpha 90.00
_cell_angle_beta 90.00
_cell_angle_gamma 90.00
loop_
_atom_site_label
_atom_site_type_symbol
_atom_site_fract_x
_atom_site_fract_y
_atom_site_fract_z
Nd1 Nd 0.000 0.000 0.000
Th1 Th 0.000 0.000 0.500
Sc1 Sc 0.250 0.250 0.250
Cd1 Cd 0.250 0.250 0.750
```

Record 12
The following is a DFT calculation (GGA-PBE) of a relaxed structure of HBr2Cl5.

Results
- raw total energy (eV/atom) = -2.00

```
data_HBr2Cl5
_chemical_formula_sum 'H2 Br4 Cl10'
_space_group_name_H-M_alt 'C 1 m 1'
_space_group_IT_number 8
_space_group_name_Hall 'C -2y'
_cell_length_a 14.580
_cell_length_b 7.080
_cell_length_c 7.084
_cell_angle_alpha 90.00
_cell_angle_beta 116.92
_cell_angle_gamma 90.00
loop_
_atom_site_label
_atom_site_type_symbol
_atom_site_fract_x
_atom_site_fract_y
_atom_site_fract_z
H1 H 0.000 0.000 0.000
Br1 Br 0.126 0.000 0.636
Br2 Br 0.126 0.500 0.138
Cl1 Cl 0.148 0.249 0.908
Cl2 Cl 0.150 0.249 0.409
Cl3 Cl 0.401 0.500 0.927
```